Record 1
Compound: HfSi
Source: Alexandria
Functional: PBE-GGA
Structure: optimized geometry

Geometry as CIF:
```
data_HfSi
_chemical_formula_sum 'Hf4 Si4'
_cell_length_a 5.352
_cell_length_b 5.352
_cell_length_c 5.352
_cell_angle_alpha 90.00
_cell_angle_beta 90.00
_cell_angle_gamma 90.00
_space_group_name_H-M_alt 'F m -3 m'
_space_group_IT_number 225
_space_group_name_Hall '-F 4 2 3'
loop_
_atom_site_label
_atom_site_type_symbol
_atom_site_fract_x
_atom_site_fract_y
_atom_site_fract_z
_atom_site_occupancy
Hf1 Hf 0.000 0.000 0.000 1
Si1 Si 0.000 0.000 0.500 1
```

## Properties
Volume = 19.16 Å³ per atom
Electronic total energy = -16.50 eV/f.u.
DOS(E_F) = 2.7 states/eV per cell

---

Record 2
Compound: HfSi4
Source: Alexandria
Functional: PBE-GGA
Structure: optimized geometry

Geometry as CIF:
```
data_HfSi4
_chemical_formula_sum 'Hf1 Si4'
_cell_length_a 5.016
_cell_length_b 5.016
_cell_length_c 5.016
_cell_angle_alpha 90.00
_cell_angle_beta 90.00
_cell_angle_gamma 90.00
_space_group_name_H-M_alt 'P m -3 m'
_space_group_IT_number 221
_space_group_name_Hall '-P 4 2 3'
loop_
_atom_site_label
_atom_site_type_symbol
_atom_site_fract_x
_atom_site_fract_y
_atom_site_fract_z
_atom_site_occupancy
Hf1 Hf 0.000 0.000 0.000 1
Si1 Si 0.000 0.000 0.500 1
Si2 Si 0.500 0.500 0.500 1
```

## Properties
Volume = 25.23 Å³ per atom
Electronic total energy = -26.01 eV/f.u.
DOS(E_F) = 3.1 states/eV per cell

---

Record 3
Compound: HfSi
Source: Alexandria
Functional: PBE-GGA
Structure: optimized geometry

Geometry as CIF:
```
data_HfSi
_chemical_formula_sum 'Hf8 Si8'
_cell_length_a 9.058
_cell_length_b 9.058
_cell_length_c 5.243
_cell_angle_alpha 90.00
_cell_angle_beta 90.00
_cell_angle_gamma 90.00
_space_group_name_H-M_alt 'I 4/m c m'
_space_group_IT_number 140
_space_group_name_Hall '-I 4 2c'
loop_
_atom_site_label
_atom_site_type_symbol
_atom_site_fract_x
_atom_site_fract_y
_atom_site_fract_z
_atom_site_occupancy
Hf1 Hf 0.139 0.361 0.000 1
Si1 Si 0.154 0.346 0.500 1
```

## Properties
Volume = 26.89 Å³ per atom
Electronic total energy = -15.58 eV/f.u.
DOS(E_F) = 3.1 states/eV per cell

---

Record 4
Compound: HfSi
Source: Alexandria
Functional: PBE-GGA
Structure: optimized geometry

Geometry as CIF:
```
data_HfSi
_chemical_formula_sum 'Hf6 Si6'
_cell_length_a 3.737
_cell_length_b 15.346
_cell_length_c 3.814
_cell_angle_alpha 90.00
_cell_angle_beta 90.00
_cell_angle_gamma 90.00
_space_group_name_H-M_alt 'C m m m'
_space_group_IT_number 65
_space_group_name_Hall '-C 2 2'
loop_
_atom_site_label
_atom_site_type_symbol
_atom_site_fract_x
_atom_site_fract_y
_atom_site_fract_z
_atom_site_occupancy
Hf1 Hf 0.000 0.000 0.000 1
Hf2 Hf 0.000 0.335 0.500 1
Si1 Si 0.000 0.191 0.000 1
Si2 Si 0.000 0.500 0.500 1
```

## Properties
Volume = 18.22 Å³ per atom
Electronic total energy = -16.63 eV/f.u.
DOS(E_F) = 5.0 states/eV per cell

---

Record 5
Compound: Hf3Si
Source: Alexandria
Functional: PBE-GGA
Structure: optimized geometry

Geometry as CIF:
```
data_Hf3Si
_chemical_formula_sum 'Hf24 Si8'
_cell_length_a 10.881
_cell_length_b 10.881
_cell_length_c 5.384
_cell_angle_alpha 90.00
_cell_angle_beta 90.00
_cell_angle_gamma 90.00
_space_group_name_H-M_alt 'P 42/n'
_space_group_IT_number 86
loop_
_space_group_symop_operation_xyz
'x,y,z'
'-x,-y,-z'
'-y,x+1/2,z+1/2'
'y,-x+1/2,-z+1/2'
'-x+1/2,-y+1/2,z'
'x+1/2,y+1/2,-z'
'y+1/2,-x,z+1/2'
'-y+1/2,x,-z+1/2'
loop_
_atom_site_label
_atom_site_type_symbol
_atom_site_fract_x
_atom_site_fract_y
_atom_site_fract_z
_atom_site_occupancy
Hf1 Hf 0.033 0.570 0.242 1
Hf2 Hf 0.111 0.222 0.028 1
Hf3 Hf 0.142 0.667 0.724 1
Si1 Si 0.045 0.208 0.536 1
```

## Properties
Volume = 19.92 Å³ per atom
Electronic total energy = -37.38 eV/f.u.
DOS(E_F) = 32.4 states/eV per cell
Energy relative to the lowest polymorph listed for this composition = 0.000 eV/atom

---

Record 6
Compound: Hf2Si
Source: Alexandria
Functional: PBE-GGA
Structure: optimized geometry

Geometry as CIF:
```
data_Hf2Si
_chemical_formula_sum 'Hf8 Si4'
_cell_length_a 6.576
_cell_length_b 6.576
_cell_length_c 5.193
_cell_angle_alpha 90.00
_cell_angle_beta 90.00
_cell_angle_gamma 90.00
_space_group_name_H-M_alt 'I 4/m c m'
_space_group_IT_number 140
_space_group_name_Hall '-I 4 2c'
loop_
_atom_site_label
_atom_site_type_symbol
_atom_site_fract_x
_atom_site_fract_y
_atom_site_fract_z
_atom_site_occupancy
Hf1 Hf 0.157 0.343 0.000 1
Si1 Si 0.000 0.000 0.250 1
```

## Properties
Volume = 18.71 Å³ per atom
Electronic total energy = -27.57 eV/f.u.
DOS(E_F) = 4.0 states/eV per cell

---

Record 7
Compound: HfSi
Source: Alexandria
Functional: PBE-GGA
Structure: optimized geometry

Geometry as CIF:
```
data_HfSi
_chemical_formula_sum 'Hf2 Si2'
_cell_length_a 4.5900
_cell_length_b 4.5900
_cell_length_c 5.2479
_cell_angle_alpha 90.00
_cell_angle_beta 90.00
_cell_angle_gamma 120.00
_space_group_name_H-M_alt 'P 63/m m c'
_space_group_IT_number 194
_space_group_name_Hall '-P 6c 2c'
loop_
_atom_site_label
_atom_site_type_symbol
_atom_site_fract_x
_atom_site_fract_y
_atom_site_fract_z
_atom_site_occupancy
Hf1 Hf 0.3333 0.6667 0.2500 1
Si1 Si 0.3333 0.6667 0.7500 1
```

## Properties
Volume = 23.94 Å³ per atom
Electronic total energy = -15.69 eV/f.u.
DOS(E_F) = 0.9 states/eV per cell

---

Record 8
Compound: Hf3Si
Source: Alexandria
Functional: PBE-GGA
Structure: optimized geometry

Geometry as CIF:
```
data_Hf3Si
_chemical_formula_sum 'Hf6 Si2'
_cell_length_a 3.247
_cell_length_b 9.321
_cell_length_c 5.281
_cell_angle_alpha 90.00
_cell_angle_beta 90.00
_cell_angle_gamma 90.00
_space_group_name_H-M_alt 'I m m 2'
_space_group_IT_number 44
loop_
_space_group_symop_operation_xyz
'x,y,z'
'-x,-y,z'
'-x,y,z'
'x,-y,z'
'x+1/2,y+1/2,z+1/2'
'-x+1/2,-y+1/2,z+1/2'
'-x+1/2,y+1/2,z+1/2'
'x+1/2,-y+1/2,z+1/2'
loop_
_atom_site_label
_atom_site_type_symbol
_atom_site_fract_x
_atom_site_fract_y
_atom_site_fract_z
_atom_site_occupancy
Hf1 Hf 0.000 0.000 0.000 1
Hf2 Hf 0.000 0.224 0.386 1
Si1 Si 0.000 0.500 0.074 1
```

## Properties
Volume = 19.98 Å³ per atom
Electronic total energy = -36.20 eV/f.u.
DOS(E_F) = 8.1 states/eV per cell
Energy relative to the lowest polymorph listed for this composition = 0.295 eV/atom

---

In the order shown, the computed raw formation energy values come out to -0.5622; 1.1268; -0.1030; -0.6287; -0.5233; -0.7467; -0.1555; -0.2283 eV per atom.